TiNi2SbO6 | PBE with a Hubbard U | relaxed

Calculated values
Spin magnetization in μB/f.u.: 3.01
Uncorrected energy in eV/cell: -60.8

abc: 5.707 5.707 3.917
angles: 90.00 90.00 90.00
Fractional coordinates of all 10 atoms:
Ti  0.000  0.000  0.000
Ni  0.000  0.500  0.204
Ni  0.500  0.000  0.204
Sb  0.500  0.500  0.042
O  0.000  0.000  0.568
O  0.251  0.251  0.090
O  0.251  0.749  0.090
O  0.500  0.500  0.552
O  0.749  0.251  0.090
O  0.749  0.749  0.090